[1]
# UNi10B2

A geometry-optimized UNi10B2 structure (PBE, the Alexandria database).

a b c (Å): 4.6172 6.0818 5.9405
angles (deg): 81.52 67.13 67.69
Atoms (fractional coordinates):
B: 0.5000 0.5000 0.0000
B: 0.0000 0.5000 0.0000
Ni: 0.3393 0.6447 0.6766
Ni: 0.5153 0.7587 0.2108
Ni: 0.0159 0.6447 0.3234
Ni: 0.0000 0.0000 0.5000
Ni: 0.5000 0.0000 0.5000
Ni: 0.2739 0.2413 0.2108
Ni: 0.6607 0.3553 0.3234
Ni: 0.9841 0.3553 0.6766
Ni: 0.4847 0.2413 0.7892
Ni: 0.7261 0.7587 0.7892
U: 0.0000 0.0000 0.0000

## Properties
M_tot   0.0 μB per cell
Energy of formation   -142.1 meV/atom

[2]
# AlOs2Pb

A geometry-optimized AlOs2Pb structure (PBE, the Alexandria database).

a b c (Å): 5.2292 5.2887 3.0063
angles (deg): 74.08 88.85 119.25
Atoms (fractional coordinates):
Pb: 0.0000 0.5000 0.5000
Al: 0.5000 0.5000 0.0000
Os: 0.0000 0.0000 0.0000
Os: 0.5000 0.0000 0.5000

## Properties
M_tot   0.0 μB per cell
ΔE to the lowest computed polymorph   0.447 eV/atom
Energy of formation   744.3 meV/atom

[3]
# SrMgAgHg

A geometry-optimized SrMgAgHg structure (PBE, the Alexandria database).

a b c (Å): 4.8695 4.8685 6.0231
angles (deg): 113.84 90.00 120.01
Atoms (fractional coordinates):
Sr: 0.6163 0.2326 0.4902
Ag: 0.8224 0.6448 0.1095
Hg: 0.4045 0.8090 0.8555
Mg: 0.1231 0.2462 0.0121

## Properties
M_tot   0.0 μB per cell
ΔE to the lowest computed polymorph   0.000 eV/atom
Energy of formation   -318.7 meV/atom

[4]
# LiCdIrF6

A geometry-optimized LiCdIrF6 structure (PBE, the Alexandria database).

a b c (Å): 5.2887 5.2887 9.7744
angles (deg): 90.00 90.00 120.00
Each line ends with the local moment (μB).
Atoms (fractional coordinates):
F: 0.0033 0.3518 0.6366  0.00
F: 0.3518 0.0033 0.1366  0.00
F: 0.3518 0.3485 0.3634  0.00
F: 0.9967 0.6482 0.3634  0.00
F: 0.3485 0.3518 0.8634  0.00
F: 0.3485 0.9967 0.6366  0.00
F: 0.6515 0.0033 0.3634  0.00
F: 0.6482 0.9967 0.8634  0.00
F: 0.9967 0.3485 0.1366  0.00
F: 0.6515 0.6482 0.1366  0.00
F: 0.6482 0.6515 0.6366  0.00
F: 0.0033 0.6515 0.8634  0.00
Ir: 0.3333 0.6667 0.7500  0.13
Ir: 0.6667 0.3333 0.2500  0.13
Cd: 0.0000 0.0000 0.5000  0.00
Cd: 0.0000 0.0000 0.0000  0.00
Li: 0.6667 0.3333 0.7500  0.00
Li: 0.3333 0.6667 0.2500  0.00

## Properties
M_tot   0.3 μB per cell
Formation energy (no corrections)   -191.4 kJ per mole of atoms

Electronic total energy? In order: -6.485, -6.733, -1.926, -4.530 eV per atom.